Ho5PuAl3 | GGA-PBE | relaxed

CIF file:
```
data_Ho5PuAl3
_chemical_formula_sum 'Ho10 Pu2 Al6'
_space_group_name_H-M_alt 'P 1'
_space_group_IT_number 1
_cell_length_a 9.027
_cell_length_b 9.027
_cell_length_c 6.492
_cell_angle_alpha 90.00
_cell_angle_beta 90.00
_cell_angle_gamma 120.00
loop_
_space_group_symop_operation_xyz
'x,y,z'
loop_
_atom_site_label
_atom_site_fract_x
_atom_site_fract_y
_atom_site_fract_z
Ho1 0.000 0.322 0.250
Ho2 0.000 0.678 0.750
Ho3 0.322 0.000 0.250
Ho4 0.322 0.322 0.750
Ho5 0.333 0.667 0.000
Ho6 0.333 0.667 0.500
Ho7 0.667 0.333 0.000
Ho8 0.667 0.333 0.500
Ho9 0.678 0.000 0.750
Ho10 0.678 0.678 0.250
Pu1 0.000 0.000 0.000
Pu2 0.000 0.000 0.500
Al1 0.000 0.344 0.750
Al2 0.000 0.656 0.250
Al3 0.344 0.000 0.750
Al4 0.344 0.344 0.250
Al5 0.656 0.000 0.250
Al6 0.656 0.656 0.750
```

Summary:
Energy, eV per cell: -101.5
ΔH_f (0 K), eV/atom: -0.253
Symmetry: P6_3/mcm, No. 193

---

LiPr2Hf | GGA-PBE | relaxed

CIF file:
```
data_LiPr2Hf
_chemical_formula_sum 'Li1 Pr2 Hf1'
_space_group_name_H-M_alt 'P 1'
_space_group_IT_number 1
_cell_length_a 3.455
_cell_length_b 3.455
_cell_length_c 9.604
_cell_angle_alpha 90.00
_cell_angle_beta 90.00
_cell_angle_gamma 90.00
loop_
_space_group_symop_operation_xyz
'x,y,z'
loop_
_atom_site_label
_atom_site_fract_x
_atom_site_fract_y
_atom_site_fract_z
Li1 0.000 0.000 0.000
Pr1 0.500 0.500 0.256
Pr2 0.500 0.500 0.744
Hf1 0.000 0.000 0.500
```

Summary:
Energy, eV per cell: -20.9
ΔH_f (0 K), eV/atom: 0.142
Symmetry: P4/mmm, No. 123
Relative energy among the computed polymorphs, eV/f.u.: 0.000

---

HfPd23Pt6 | GGA-PBE | relaxed

CIF file:
```
data_HfPd23Pt6
_chemical_formula_sum 'Hf1 Pd23 Pt6'
_space_group_name_H-M_alt 'P 1'
_space_group_IT_number 1
_cell_length_a 8.829
_cell_length_b 8.829
_cell_length_c 8.829
_cell_angle_alpha 60.00
_cell_angle_beta 60.00
_cell_angle_gamma 60.00
loop_
_space_group_symop_operation_xyz
'x,y,z'
loop_
_atom_site_label
_atom_site_fract_x
_atom_site_fract_y
_atom_site_fract_z
Hf1 0.000 0.000 0.000
Pd1 0.000 0.000 0.500
Pd2 0.000 0.500 0.000
Pd3 0.000 0.500 0.500
Pd4 0.120 0.627 0.627
Pd5 0.131 0.131 0.131
Pd6 0.131 0.131 0.608
Pd7 0.131 0.608 0.131
Pd8 0.373 0.373 0.373
Pd9 0.373 0.373 0.880
Pd10 0.373 0.880 0.373
Pd11 0.392 0.869 0.869
Pd12 0.500 0.000 0.000
Pd13 0.500 0.000 0.500
Pd14 0.500 0.500 0.000
Pd15 0.500 0.500 0.500
Pd16 0.608 0.131 0.131
Pd17 0.627 0.120 0.627
Pd18 0.627 0.627 0.120
Pd19 0.627 0.627 0.627
Pd20 0.869 0.392 0.869
Pd21 0.869 0.869 0.392
Pd22 0.869 0.869 0.869
Pd23 0.880 0.373 0.373
Pt1 0.246 0.246 0.754
Pt2 0.246 0.754 0.246
Pt3 0.246 0.754 0.754
Pt4 0.754 0.246 0.246
Pt5 0.754 0.246 0.754
Pt6 0.754 0.754 0.246
```

Summary:
Energy, eV per cell: -166.8
ΔH_f (0 K), eV/atom: -0.038
Symmetry: Fm-3m, No. 225